First-principles (PBE) data for an optimized crystal structure of LaCuAg, as listed in Alexandria.

Output
DOS(E_F)	2.51	states/eV per cell
SG	P3m1 (156)
ΔH_f (0 K)	19.2	kJ per mole of atoms

Lattice parameters (Å, degrees): 3.298 3.298 7.056 90.00 90.00 120.00
Atoms (fractional coordinates):
Ag 0.000 0.000 0.042
La 0.333 0.667 0.649
Cu 0.667 0.333 0.309